1.
# meta-GGA SCAN LaYIr2, single point on PBEsol structure
# Energy above the most stable polymorph in this dataset: 0 kJ/mol of formula units
# DFT formation energy: -0.80 eV/atom
data_LaYIr2
_cell_length_a 3.315
_cell_length_b 3.469
_cell_length_c 7.179
_cell_angle_alpha 90.00
_cell_angle_beta 90.00
_cell_angle_gamma 90.00
_space_group_name_H-M_alt 'P 1'
_space_group_IT_number 1
loop_
_space_group_symop_operation_xyz
'x,y,z'
loop_
_atom_site_label
_atom_site_type_symbol
_atom_site_fract_x
_atom_site_fract_y
_atom_site_fract_z
La1 La 0.000 0.000 0.000
Y1 Y 0.000 0.000 0.500
Ir1 Ir 0.500 0.500 0.266
Ir2 Ir 0.500 0.500 0.734

2.
# meta-GGA SCAN Mo2PbBr, single point on PBEsol structure
# Energy above the most stable polymorph in this dataset: 193 kJ/mol of formula units
data_Mo2PbBr
_cell_length_a 3.732
_cell_length_b 4.635
_cell_length_c 5.308
_cell_angle_alpha 90.00
_cell_angle_beta 91.36
_cell_angle_gamma 90.00
_space_group_name_H-M_alt 'P 1'
_space_group_IT_number 1
loop_
_space_group_symop_operation_xyz
'x,y,z'
loop_
_atom_site_label
_atom_site_type_symbol
_atom_site_fract_x
_atom_site_fract_y
_atom_site_fract_z
Mo1 Mo 0.186 0.000 0.160
Mo2 Mo 0.814 0.000 0.840
Pb1 Pb 0.500 0.500 0.000
Br1 Br 0.000 0.500 0.500

3.
# meta-GGA SCAN Lu5CuPb3, single point on PBEsol structure
# DFT formation energy: -0.63 eV/atom
data_Lu5CuPb3
_cell_length_a 8.876
_cell_length_b 8.876
_cell_length_c 6.430
_cell_angle_alpha 90.00
_cell_angle_beta 90.00
_cell_angle_gamma 120.00
_space_group_name_H-M_alt 'P 1'
_space_group_IT_number 1
loop_
_space_group_symop_operation_xyz
'x,y,z'
loop_
_atom_site_label
_atom_site_type_symbol
_atom_site_fract_x
_atom_site_fract_y
_atom_site_fract_z
Lu1 Lu 0.000 0.251 0.250
Lu2 Lu 0.000 0.749 0.750
Lu3 Lu 0.251 0.000 0.250
Lu4 Lu 0.251 0.251 0.750
Lu5 Lu 0.333 0.667 0.000
Lu6 Lu 0.333 0.667 0.500
Lu7 Lu 0.667 0.333 0.000
Lu8 Lu 0.667 0.333 0.500
Lu9 Lu 0.749 0.000 0.750
Lu10 Lu 0.749 0.749 0.250
Cu1 Cu 0.000 0.000 0.000
Cu2 Cu 0.000 0.000 0.500
Pb1 Pb 0.000 0.391 0.750
Pb2 Pb 0.000 0.609 0.250
Pb3 Pb 0.391 0.000 0.750
Pb4 Pb 0.391 0.391 0.250
Pb5 Pb 0.609 0.000 0.250
Pb6 Pb 0.609 0.609 0.750

4.
# meta-GGA SCAN ZrIrPb2, single point on PBEsol structure
# Energy above the most stable polymorph in this dataset: 103 kJ/mol of formula units
# DFT formation energy: 0.31 eV/atom
data_ZrIrPb2
_cell_length_a 9.272
_cell_length_b 9.272
_cell_length_c 9.272
_cell_angle_alpha 20.40
_cell_angle_beta 20.40
_cell_angle_gamma 20.40
_space_group_name_H-M_alt 'P 1'
_space_group_IT_number 1
loop_
_space_group_symop_operation_xyz
'x,y,z'
loop_
_atom_site_label
_atom_site_type_symbol
_atom_site_fract_x
_atom_site_fract_y
_atom_site_fract_z
Zr1 Zr 0.000 0.000 0.000
Ir1 Ir 0.500 0.500 0.500
Pb1 Pb 0.242 0.242 0.242
Pb2 Pb 0.758 0.758 0.758

5.
# meta-GGA SCAN CaCu2Sb, single point on PBEsol structure
# Final energy: -19.66 eV/atom
data_CaCu2Sb
_cell_length_a 5.842
_cell_length_b 5.842
_cell_length_c 5.842
_cell_angle_alpha 42.24
_cell_angle_beta 42.24
_cell_angle_gamma 42.24
_space_group_name_H-M_alt 'P 1'
_space_group_IT_number 1
loop_
_space_group_symop_operation_xyz
'x,y,z'
loop_
_atom_site_label
_atom_site_type_symbol
_atom_site_fract_x
_atom_site_fract_y
_atom_site_fract_z
Ca1 Ca 0.000 0.000 0.000
Cu1 Cu 0.204 0.204 0.204
Cu2 Cu 0.536 0.536 0.536
Sb1 Sb 0.799 0.799 0.799

6.
# meta-GGA SCAN CdHg2H, single point on PBEsol structure
# Final energy: -42.08 eV/atom
data_CdHg2H
_cell_length_a 4.741
_cell_length_b 4.741
_cell_length_c 4.741
_cell_angle_alpha 60.00
_cell_angle_beta 60.00
_cell_angle_gamma 60.00
_space_group_name_H-M_alt 'P 1'
_space_group_IT_number 1
loop_
_space_group_symop_operation_xyz
'x,y,z'
loop_
_atom_site_label
_atom_site_type_symbol
_atom_site_fract_x
_atom_site_fract_y
_atom_site_fract_z
Cd1 Cd 0.000 0.000 0.000
Hg1 Hg 0.250 0.250 0.250
Hg2 Hg 0.750 0.750 0.750
H1 H 0.500 0.500 0.500

7.
# meta-GGA SCAN CrH2, single point on PBEsol structure
# Final energy: -8.28 eV/atom
data_CrH2
_cell_length_a 4.118
_cell_length_b 4.118
_cell_length_c 4.118
_cell_angle_alpha 60.00
_cell_angle_beta 60.00
_cell_angle_gamma 60.00
_space_group_name_H-M_alt 'P 1'
_space_group_IT_number 1
loop_
_space_group_symop_operation_xyz
'x,y,z'
loop_
_atom_site_label
_atom_site_type_symbol
_atom_site_fract_x
_atom_site_fract_y
_atom_site_fract_z
Cr1 Cr 0.000 0.000 0.000
Cr2 Cr 0.250 0.250 0.250
Cr3 Cr 0.750 0.750 0.750
H1 H 0.282 0.282 0.718
H2 H 0.282 0.718 0.282
H3 H 0.282 0.718 0.718
H4 H 0.718 0.282 0.282
H5 H 0.718 0.282 0.718
H6 H 0.718 0.718 0.282

8.
# meta-GGA SCAN SiOsS2N, single point on PBEsol structure
# Final energy: -21.45 eV/atom
data_SiOsS2N
_cell_length_a 4.748
_cell_length_b 4.748
_cell_length_c 3.648
_cell_angle_alpha 90.00
_cell_angle_beta 90.00
_cell_angle_gamma 90.00
_space_group_name_H-M_alt 'P 1'
_space_group_IT_number 1
loop_
_space_group_symop_operation_xyz
'x,y,z'
loop_
_atom_site_label
_atom_site_type_symbol
_atom_site_fract_x
_atom_site_fract_y
_atom_site_fract_z
Si1 Si 0.000 0.000 0.000
Os1 Os 0.500 0.500 0.500
S1 S 0.000 0.500 0.500
S2 S 0.500 0.000 0.500
N1 N 0.500 0.500 0.000

9.
# meta-GGA SCAN Cu2Mo, single point on PBEsol structure
# DFT formation energy: 0.84 eV/atom
data_Cu2Mo
_cell_length_a 4.505
_cell_length_b 4.505
_cell_length_c 2.468
_cell_angle_alpha 90.00
_cell_angle_beta 90.00
_cell_angle_gamma 90.00
_space_group_name_H-M_alt 'P 1'
_space_group_IT_number 1
loop_
_space_group_symop_operation_xyz
'x,y,z'
loop_
_atom_site_label
_atom_site_type_symbol
_atom_site_fract_x
_atom_site_fract_y
_atom_site_fract_z
Cu1 Cu 0.000 0.500 0.000
Cu2 Cu 0.500 0.000 0.000
Mo1 Mo 0.000 0.000 0.500

10.
# meta-GGA SCAN CoP2I, single point on PBEsol structure
# Final energy: -18.46 eV/atom
data_CoP2I
_cell_length_a 6.467
_cell_length_b 6.467
_cell_length_c 6.467
_cell_angle_alpha 125.43
_cell_angle_beta 125.43
_cell_angle_gamma 80.83
_space_group_name_H-M_alt 'P 1'
_space_group_IT_number 1
loop_
_space_group_symop_operation_xyz
'x,y,z'
loop_
_atom_site_label
_atom_site_type_symbol
_atom_site_fract_x
_atom_site_fract_y
_atom_site_fract_z
Co1 Co 0.000 0.000 0.000
Co2 Co 0.750 0.250 0.500
P1 P 0.375 0.006 0.131
P2 P 0.756 0.625 0.631
P3 P 0.875 0.244 0.869
P4 P 0.994 0.125 0.369
I1 I 0.250 0.750 0.500
I2 I 0.500 0.500 0.000

11.
# meta-GGA SCAN Al2AgSb, single point on PBEsol structure
# Final energy: -20.82 eV/atom
data_Al2AgSb
_cell_length_a 6.058
_cell_length_b 6.058
_cell_length_c 6.058
_cell_angle_alpha 102.93
_cell_angle_beta 102.93
_cell_angle_gamma 123.53
_space_group_name_H-M_alt 'P 1'
_space_group_IT_number 1
loop_
_space_group_symop_operation_xyz
'x,y,z'
loop_
_atom_site_label
_atom_site_type_symbol
_atom_site_fract_x
_atom_site_fract_y
_atom_site_fract_z
Al1 Al 0.112 0.125 0.487
Al2 Al 0.375 0.888 0.013
Al3 Al 0.638 0.625 0.513
Al4 Al 0.875 0.362 0.987
Ag1 Ag 0.000 0.000 0.000
Ag2 Ag 0.750 0.250 0.500
Sb1 Sb 0.250 0.750 0.500
Sb2 Sb 0.500 0.500 0.000

12.
# meta-GGA SCAN Li2CaPb, single point on PBEsol structure
# DFT formation energy: -0.36 eV/atom
data_Li2CaPb
_cell_length_a 4.026
_cell_length_b 4.958
_cell_length_c 4.964
_cell_angle_alpha 90.00
_cell_angle_beta 90.00
_cell_angle_gamma 90.00
_space_group_name_H-M_alt 'P 1'
_space_group_IT_number 1
loop_
_space_group_symop_operation_xyz
'x,y,z'
loop_
_atom_site_label
_atom_site_type_symbol
_atom_site_fract_x
_atom_site_fract_y
_atom_site_fract_z
Li1 Li 0.000 0.000 0.000
Li2 Li 0.500 0.000 0.500
Ca1 Ca 0.000 0.500 0.500
Pb1 Pb 0.500 0.500 0.000

13.
# meta-GGA SCAN MnCr2S4, single point on PBEsol structure
# Final energy: -14.06 eV/atom
data_MnCr2S4
_cell_length_a 6.021
_cell_length_b 6.021
_cell_length_c 5.660
_cell_angle_alpha 114.03
_cell_angle_beta 114.03
_cell_angle_gamma 29.33
_space_group_name_H-M_alt 'P 1'
_space_group_IT_number 1
loop_
_space_group_symop_operation_xyz
'x,y,z'
loop_
_atom_site_label
_atom_site_type_symbol
_atom_site_fract_x
_atom_site_fract_y
_atom_site_fract_z
Mn1 Mn 0.000 0.000 0.000
Cr1 Cr 0.261 0.261 0.315
Cr2 Cr 0.739 0.739 0.685
S1 S 0.102 0.102 0.436
S2 S 0.360 0.360 0.023
S3 S 0.640 0.640 0.977
S4 S 0.898 0.898 0.564

14.
# meta-GGA SCAN TaTl2AgS4, single point on PBEsol structure
# Final energy: -35.85 eV/atom
data_TaTl2AgS4
_cell_length_a 7.839
_cell_length_b 10.297
_cell_length_c 12.540
_cell_angle_alpha 90.00
_cell_angle_beta 127.73
_cell_angle_gamma 90.00
_space_group_name_H-M_alt 'P 1'
_space_group_IT_number 1
loop_
_space_group_symop_operation_xyz
'x,y,z'
loop_
_atom_site_label
_atom_site_type_symbol
_atom_site_fract_x
_atom_site_fract_y
_atom_site_fract_z
Ta1 Ta 0.070 0.226 0.454
Ta2 Ta 0.070 0.274 0.954
Ta3 Ta 0.930 0.726 0.046
Ta4 Ta 0.930 0.774 0.546
Tl1 Tl 0.337 0.003 0.227
Tl2 Tl 0.337 0.497 0.727
Tl3 Tl 0.406 0.726 0.510
Tl4 Tl 0.406 0.774 0.010
Tl5 Tl 0.594 0.226 0.990
Tl6 Tl 0.594 0.274 0.490
Tl7 Tl 0.663 0.503 0.273
Tl8 Tl 0.663 0.997 0.773
Ag1 Ag 0.092 0.011 0.715
Ag2 Ag 0.092 0.489 0.215
Ag3 Ag 0.908 0.511 0.785
Ag4 Ag 0.908 0.989 0.285
S1 S 0.111 0.238 0.649
S2 S 0.111 0.262 0.149
S3 S 0.187 0.077 0.938
S4 S 0.187 0.423 0.438
S5 S 0.286 0.067 0.468
S6 S 0.286 0.433 0.968
S7 S 0.287 0.687 0.221
S8 S 0.287 0.813 0.721
S9 S 0.713 0.187 0.279
S10 S 0.713 0.313 0.779
S11 S 0.714 0.567 0.032
S12 S 0.714 0.933 0.532
S13 S 0.813 0.577 0.562
S14 S 0.813 0.923 0.062
S15 S 0.889 0.738 0.851
S16 S 0.889 0.762 0.351

15.
# meta-GGA SCAN Mn2SiIrRu, single point on PBEsol structure
# Final energy: -29.73 eV/atom
data_Mn2SiIrRu
_cell_length_a 4.179
_cell_length_b 4.179
_cell_length_c 4.224
_cell_angle_alpha 90.00
_cell_angle_beta 90.00
_cell_angle_gamma 90.00
_space_group_name_H-M_alt 'P 1'
_space_group_IT_number 1
loop_
_space_group_symop_operation_xyz
'x,y,z'
loop_
_atom_site_label
_atom_site_type_symbol
_atom_site_fract_x
_atom_site_fract_y
_atom_site_fract_z
Mn1 Mn 0.000 0.500 0.000
Mn2 Mn 0.500 0.000 0.000
Si1 Si 0.000 0.000 0.000
Ir1 Ir 0.500 0.500 0.500
Ru1 Ru 0.000 0.000 0.500

16.
# meta-GGA SCAN LiTi2Cl, single point on PBEsol structure
# Final energy: -10.22 eV/atom
data_LiTi2Cl
_cell_length_a 4.373
_cell_length_b 4.373
_cell_length_c 4.373
_cell_angle_alpha 60.00
_cell_angle_beta 60.00
_cell_angle_gamma 60.00
_space_group_name_H-M_alt 'P 1'
_space_group_IT_number 1
loop_
_space_group_symop_operation_xyz
'x,y,z'
loop_
_atom_site_label
_atom_site_type_symbol
_atom_site_fract_x
_atom_site_fract_y
_atom_site_fract_z
Li1 Li 0.000 0.000 0.000
Ti1 Ti 0.250 0.250 0.250
Ti2 Ti 0.750 0.750 0.750
Cl1 Cl 0.500 0.500 0.500

17.
# meta-GGA SCAN Mg2ReIr, single point on PBEsol structure
# Energy above the most stable polymorph in this dataset: 26 kJ/mol of formula units
# DFT formation energy: 0.04 eV/atom
data_Mg2ReIr
_cell_length_a 2.887
_cell_length_b 4.565
_cell_length_c 4.655
_cell_angle_alpha 90.00
_cell_angle_beta 90.00
_cell_angle_gamma 90.00
_space_group_name_H-M_alt 'P 1'
_space_group_IT_number 1
loop_
_space_group_symop_operation_xyz
'x,y,z'
loop_
_atom_site_label
_atom_site_type_symbol
_atom_site_fract_x
_atom_site_fract_y
_atom_site_fract_z
Mg1 Mg 0.000 0.000 0.000
Mg2 Mg 0.500 0.000 0.500
Re1 Re 0.000 0.500 0.500
Ir1 Ir 0.500 0.500 0.000

18.
# meta-GGA SCAN Ag8Pt, single point on PBEsol structure
# DFT formation energy: 0.00 eV/atom
data_Ag8Pt
_cell_length_a 6.370
_cell_length_b 6.370
_cell_length_c 6.370
_cell_angle_alpha 95.68
_cell_angle_beta 95.68
_cell_angle_gamma 143.33
_space_group_name_H-M_alt 'P 1'
_space_group_IT_number 1
loop_
_space_group_symop_operation_xyz
'x,y,z'
loop_
_atom_site_label
_atom_site_type_symbol
_atom_site_fract_x
_atom_site_fract_y
_atom_site_fract_z
Ag1 Ag 0.000 0.332 0.332
Ag2 Ag 0.000 0.668 0.668
Ag3 Ag 0.332 0.000 0.332
Ag4 Ag 0.335 0.335 0.669
Ag5 Ag 0.335 0.665 0.000
Ag6 Ag 0.665 0.335 0.000
Ag7 Ag 0.665 0.665 0.331
Ag8 Ag 0.668 0.000 0.668
Pt1 Pt 0.000 0.000 0.000

19.
# meta-GGA SCAN BaHSeBr2, single point on PBEsol structure
# Final energy: -20.74 eV/atom
data_BaHSeBr2
_cell_length_a 6.230
_cell_length_b 6.230
_cell_length_c 6.691
_cell_angle_alpha 90.00
_cell_angle_beta 90.00
_cell_angle_gamma 90.00
_space_group_name_H-M_alt 'P 1'
_space_group_IT_number 1
loop_
_space_group_symop_operation_xyz
'x,y,z'
loop_
_atom_site_label
_atom_site_type_symbol
_atom_site_fract_x
_atom_site_fract_y
_atom_site_fract_z
Ba1 Ba 0.000 0.000 0.000
H1 H 0.500 0.500 0.500
Se1 Se 0.000 0.000 0.500
Br1 Br 0.000 0.500 0.000
Br2 Br 0.500 0.000 0.000

20.
# meta-GGA SCAN LaTlPb2, single point on PBEsol structure
# DFT formation energy: -0.60 eV/atom
data_LaTlPb2
_cell_length_a 4.822
_cell_length_b 4.822
_cell_length_c 4.858
_cell_angle_alpha 90.00
_cell_angle_beta 90.00
_cell_angle_gamma 90.00
_space_group_name_H-M_alt 'P 1'
_space_group_IT_number 1
loop_
_space_group_symop_operation_xyz
'x,y,z'
loop_
_atom_site_label
_atom_site_type_symbol
_atom_site_fract_x
_atom_site_fract_y
_atom_site_fract_z
La1 La 0.000 0.000 0.000
Tl1 Tl 0.500 0.500 0.000
Pb1 Pb 0.000 0.500 0.500
Pb2 Pb 0.500 0.000 0.500

21.
# meta-GGA SCAN AgAs2Br, single point on PBEsol structure
# Energy above the most stable polymorph in this dataset: 0 kJ/mol of formula units
data_AgAs2Br
_cell_length_a 7.641
_cell_length_b 7.641
_cell_length_c 7.641
_cell_angle_alpha 28.24
_cell_angle_beta 28.24
_cell_angle_gamma 28.24
_space_group_name_H-M_alt 'P 1'
_space_group_IT_number 1
loop_
_space_group_symop_operation_xyz
'x,y,z'
loop_
_atom_site_label
_atom_site_type_symbol
_atom_site_fract_x
_atom_site_fract_y
_atom_site_fract_z
Ag1 Ag 0.000 0.000 0.000
As1 As 0.249 0.249 0.249
As2 As 0.519 0.519 0.519
Br1 Br 0.742 0.742 0.742

22.
# meta-GGA SCAN MnW2Se, single point on PBEsol structure
# Final energy: -44.01 eV/atom
data_MnW2Se
_cell_length_a 2.922
_cell_length_b 2.922
_cell_length_c 6.605
_cell_angle_alpha 90.00
_cell_angle_beta 90.00
_cell_angle_gamma 90.00
_space_group_name_H-M_alt 'P 1'
_space_group_IT_number 1
loop_
_space_group_symop_operation_xyz
'x,y,z'
loop_
_atom_site_label
_atom_site_type_symbol
_atom_site_fract_x
_atom_site_fract_y
_atom_site_fract_z
Mn1 Mn 0.000 0.000 0.000
W1 W 0.500 0.500 0.237
W2 W 0.500 0.500 0.763
Se1 Se 0.000 0.000 0.500

23.
# meta-GGA SCAN In2Pt2Au, single point on PBEsol structure
# Energy above the most stable polymorph in this dataset: 127 kJ/mol of formula units
# DFT formation energy: -0.14 eV/atom
data_In2Pt2Au
_cell_length_a 6.659
_cell_length_b 6.659
_cell_length_c 6.659
_cell_angle_alpha 144.78
_cell_angle_beta 144.78
_cell_angle_gamma 50.66
_space_group_name_H-M_alt 'P 1'
_space_group_IT_number 1
loop_
_space_group_symop_operation_xyz
'x,y,z'
loop_
_atom_site_label
_atom_site_type_symbol
_atom_site_fract_x
_atom_site_fract_y
_atom_site_fract_z
In1 In 0.250 0.750 0.500
In2 In 0.750 0.250 0.500
Pt1 Pt 0.104 0.104 0.000
Pt2 Pt 0.896 0.896 0.000
Au1 Au 0.500 0.500 0.000

24.
# meta-GGA SCAN BaAlW3, single point on PBEsol structure
# DFT formation energy: 2.18 eV/atom
data_BaAlW3
_cell_length_a 4.769
_cell_length_b 4.769
_cell_length_c 4.769
_cell_angle_alpha 90.00
_cell_angle_beta 90.00
_cell_angle_gamma 90.00
_space_group_name_H-M_alt 'P 1'
_space_group_IT_number 1
loop_
_space_group_symop_operation_xyz
'x,y,z'
loop_
_atom_site_label
_atom_site_type_symbol
_atom_site_fract_x
_atom_site_fract_y
_atom_site_fract_z
Ba1 Ba 0.000 0.000 0.000
Al1 Al 0.500 0.500 0.500
W1 W 0.000 0.500 0.500
W2 W 0.500 0.000 0.500
W3 W 0.500 0.500 0.000